Crystalline TaTeAs3 at its relaxed geometry. Source: Alexandria, functional GGA-PBE.

abc: 5.109 5.109 5.109
angles: 90.00 90.00 90.00
Fractional positions:
Ta 0.000 0.000 0.000
Te 0.500 0.500 0.500
As 0.000 0.500 0.500
As 0.500 0.000 0.500
As 0.500 0.500 0.000

SG = Pm-3m (221)
raw formation energy = 1.653 eV/atom
size of the total moment = 0.00 μB per cell
VASP energy = -0.3040 Ry/atom